Entry 1:
A plane-wave DFT calculation with PBE with a Hubbard U was carried out for a geometry-optimized Na3CrO4 structure.

Cell: 12.4083 7.0874 5.6742 Å, 90.00 90.00 90.00°
Space group Pnma (No. 62)
Unique sites:
Na (0.0729, 0.2500, 0.2145) [4 per cell]
Na (0.1627, 0.0015, 0.7853) [8 per cell]
Cr (0.0897, 0.7500, 0.2953) [4 per cell]
O (0.0432, 0.2500, 0.7965) [4 per cell]
O (0.0889, 0.7500, 0.6002) [4 per cell]
O (0.1579, 0.5512, 0.1955) [8 per cell]

Values from the calculation:
**Final energy**: -5.541 eV/atom


Entry 2:
A plane-wave DFT calculation with PBE with a Hubbard U was carried out for a geometry-optimized Na3CrO4 structure.

Cell: 7.1441 6.1120 5.6173 Å, 90.00 90.00 90.00°
Space group Pmn2_1 (No. 31)
Unique sites:
Na (0.0000, 0.1456, 0.0000) [2 per cell]
Na (0.2438, 0.3271, 0.4956) [4 per cell]
Cr (0.0000, 0.8220, 0.4876) [2 per cell]
O (0.0000, 0.0914, 0.5852) [2 per cell]
O (0.0000, 0.8071, 0.1807) [2 per cell]
O (0.2035, 0.6951, 0.5853) [4 per cell]

Values from the calculation:
**Final energy**: -5.547 eV/atom


Entry 3:
A plane-wave DFT calculation with PBE with a Hubbard U was carried out for a geometry-optimized Na7CrO6 structure.

Cell: 6.0930 11.0904 12.5033 Å, 90.00 90.00 90.00°
Space group Ibam (No. 72)
Unique sites:
Na (0.0000, 0.0000, 0.2500) [4 per cell]
Na (0.1270, 0.2691, 0.1119) [16 per cell]
Na (0.2133, 0.0370, 0.0000) [8 per cell]
Cr (0.0000, 0.5000, 0.2500) [4 per cell]
O (0.1031, 0.1587, 0.5000) [8 per cell]
O (0.1710, 0.4050, 0.3225) [16 per cell]

Values from the calculation:
**Final energy**: -4.742 eV/atom


Entry 4:
A plane-wave DFT calculation with PBE with a Hubbard U was carried out for a geometry-optimized NaCrO4 structure.

Cell: 3.2877 3.2877 5.9576 Å, 90.00 90.00 90.00°
Space group P4/mmm (No. 123)
Unique sites:
Na (0.0000, 0.0000, 0.0000) [1 per cell]
Cr (0.5000, 0.5000, 0.5000) [1 per cell]
O (0.0000, 0.5000, 0.2989) [4 per cell]

Values from the calculation:
**Final energy**: -5.504 eV/atom


Entry 5:
A plane-wave DFT calculation with PBE with a Hubbard U was carried out for a geometry-optimized Na3CrO structure.

Cell: 5.5676 5.5676 5.5676 Å, 90.00 90.00 90.00°
Space group Pm-3m (No. 221)
Unique sites:
Na (0.0000, 0.0000, 0.5000) [3 per cell]
Cr (0.0000, 0.0000, 0.0000) [1 per cell]
O (0.5000, 0.5000, 0.5000) [1 per cell]

Values from the calculation:
**Final energy**: -2.567 eV/atom


Entry 6:
A plane-wave DFT calculation with PBE with a Hubbard U was carried out for a geometry-optimized Na2CrO4 structure.

Cell: 5.7129 5.7437 8.9082 Å, 76.43 81.05 66.19°
Space group P-1 (No. 2)
Unique sites:
Na (0.2329, 0.4294, 0.3347) [2 per cell]
Na (0.2640, 0.7717, 0.9479) [2 per cell]
Cr (0.3343, 0.2581, 0.7642) [2 per cell]
O (0.0784, 0.2416, 0.8793) [2 per cell]
O (0.2320, 0.4301, 0.5932) [2 per cell]
O (0.4661, 0.0418, 0.2478) [2 per cell]
O (0.4804, 0.4055, 0.8376) [2 per cell]

Values from the calculation:
**Final energy**: -5.872 eV/atom


Entry 7:
A plane-wave DFT calculation with PBE with a Hubbard U was carried out for a geometry-optimized Na4CrO5 structure.

Cell: 7.1201 7.1201 4.9776 Å, 90.00 90.00 90.00°
Space group I4 (No. 79)
Unique sites:
Na (0.0989, 0.2985, 0.0000) [8 per cell]
Cr (0.0000, 0.0000, 0.4474) [2 per cell]
O (0.0000, 0.0000, 0.1064) [2 per cell]
O (0.0741, 0.2379, 0.5264) [8 per cell]

Values from the calculation:
**Final energy**: -5.209 eV/atom


Entry 8:
A plane-wave DFT calculation with PBE with a Hubbard U was carried out for a geometry-optimized NaCrO3 structure.

Cell: 10.2604 10.5722 4.9029 Å, 90.00 90.07 90.00°
Space group C2/c (No. 15)
Unique sites:
Na (0.2274, 0.1041, 0.3231) [8 per cell]
Cr (0.0000, 0.1905, 0.7500) [4 per cell]
Cr (0.0000, 0.4266, 0.2500) [4 per cell]
O (0.0749, 0.2751, 0.4977) [8 per cell]
O (0.1122, 0.4672, 0.9693) [8 per cell]
O (0.1135, 0.1009, 0.8863) [8 per cell]

Values from the calculation:
**Final energy**: -6.246 eV/atom


Entry 9:
A plane-wave DFT calculation with PBE with a Hubbard U was carried out for a geometry-optimized NaCr3O8 structure.

Cell: 8.7002 5.5451 7.0182 Å, 90.00 90.14 90.00°
Space group C2/m (No. 12)
Unique sites:
Na (0.0000, 0.0000, 0.0000) [2 per cell]
Cr (0.0000, 0.0000, 0.5000) [2 per cell]
Cr (0.1427, 0.5000, 0.7242) [4 per cell]
O (0.0324, 0.2476, 0.7046) [8 per cell]
O (0.2222, 0.5000, 0.9322) [4 per cell]
O (0.2239, 0.0000, 0.4444) [4 per cell]

Values from the calculation:
**Final energy**: -6.759 eV/atom


Entry 10:
A plane-wave DFT calculation with PBE with a Hubbard U was carried out for a geometry-optimized Na2CrO4 structure.

Cell: 5.5627 5.5627 8.2473 Å, 90.00 90.00 90.00°
Space group I-42m (No. 121)
Unique sites:
Na (0.0000, 0.5000, 0.2500) [4 per cell]
Cr (0.0000, 0.0000, 0.0000) [2 per cell]
O (0.1737, 0.1737, 0.1160) [8 per cell]

Values from the calculation:
**Final energy**: -5.873 eV/atom


Entry 11:
A plane-wave DFT calculation with PBE with a Hubbard U was carried out for a geometry-optimized NaCr6O11 structure.

Cell: 5.8210 10.1109 13.0218 Å, 90.00 90.09 90.00°
Space group Cc (No. 9)
Unique sites:
Na (0.0000, 0.1628, 0.0000) [4 per cell]
Cr (0.0001, 0.0001, 0.2515) [4 per cell]
Cr (0.0001, 0.1673, 0.5016) [4 per cell]
Cr (0.0024, 0.4990, 0.1062) [4 per cell]
Cr (0.2501, 0.2500, 0.2515) [4 per cell]
Cr (0.2501, 0.2500, 0.7516) [4 per cell]
Cr (0.4978, 0.0011, 0.3969) [4 per cell]
O (0.0001, 0.3474, 0.5016) [4 per cell]
O (0.0015, 0.1664, 0.3389) [4 per cell]
O (0.0086, 0.3258, 0.1746) [4 per cell]
O (0.2297, 0.4228, 0.0007) [4 per cell]
O (0.2339, 0.0831, 0.8291) [4 per cell]
O (0.2361, 0.0879, 0.1727) [4 per cell]
O (0.2645, 0.4121, 0.3307) [4 per cell]
O (0.2660, 0.4169, 0.6742) [4 per cell]
O (0.2706, 0.0772, 0.5025) [4 per cell]
O (0.4917, 0.1745, 0.3288) [4 per cell]
O (0.4986, 0.3337, 0.1642) [4 per cell]

Values from the calculation:
**Final energy**: -7.381 eV/atom


Entry 12:
A plane-wave DFT calculation with PBE with a Hubbard U was carried out for a geometry-optimized Na3Cr3OsO8 structure.

Cell: 6.1073 6.1073 16.3274 Å, 90.00 90.00 120.00°
Space group R-3m (No. 166, hexagonal axes)
Unique sites:
Na (0.0000, 0.5000, 0.0000) [9 per cell]
Cr (0.0000, 0.5000, 0.5000) [9 per cell]
Os (0.0000, 0.0000, 0.5000) [3 per cell]
O (0.0000, 0.0000, 0.2318) [6 per cell]
O (0.0010, 0.5005, 0.2305) [18 per cell]

Values from the calculation:
**Final energy**: -6.825 eV/atom